(1)
Y3AsRu | PBE | optimized geometry

The structure belongs to space group Pm-3m (No. 221); the cell edges are 5.261, 5.261 and 5.261 Å and the angles 90.00°, 90.00° and 90.00°. Symmetry generates all atoms from Y at (0.000, 0.000, 0.500), As at (0.500, 0.500, 0.500) and Ru at (0.000, 0.000, 0.000).

The calculation puts the volume at 145.6 Å³ per cell. The magnetic moment is 0.0 μB per formula unit. The uncorrected energy is -6.86 eV per atom. As for the energy above the lowest structure with this stoichiometry: 0.0000 eV per atom. The energy of formation comes out at -200 meV/atom.



(2)
KLaFe2S | PBE | optimized geometry

The structure belongs to space group P4/mmm (No. 123); the cell edges are 4.381, 4.381 and 6.520 Å and the angles 90.00°, 90.00° and 90.00°. Symmetry generates all atoms from K at (0.000, 0.000, 0.000), La at (0.000, 0.000, 0.500), Fe at (0.000, 0.500, 0.000) and S at (0.500, 0.500, 0.500).

The calculation puts the volume at 125.1 Å³ per cell. The magnetic moment is 3.9 μB per formula unit. The uncorrected energy is -3.87 eV per atom. As for the raw formation energy: 1.5437 eV per atom.